w | MnTl3O | PBE+U | optimized geometry

Cell and atoms, written as POSCAR:
```
MnTl3O
1.0
-0.4865 -3.2779 4.3229
-0.1475 -4.3307 -3.3004
5.4232 -0.4118 0.2980
Tl Mn O
3 1 1
Direct
0.0000 0.5000 0.0000
0.0000 0.0000 0.5000
0.5000 0.0000 0.0000
0.0000 0.0000 0.0000
0.5000 0.5000 0.5000
```

**Density of states at the Fermi level**: 5.51 states/eV/f.u.
**SG**: Pm-3m, No. 221
**Theoretical density**: 7.0 g cm⁻³

x | MnTl3O | PBE+U | optimized geometry

Cell and atoms, written as POSCAR:
```
MnTl3O
1.0
-4.6469 -0.4219 -1.9975
1.8138 -3.1328 -3.5578
-0.9372 -3.9711 3.0190
Tl Mn O
3 1 1
Direct
0.0000 0.5000 0.0000
0.0000 0.0000 0.5000
0.5000 0.0000 0.0000
0.5000 0.5000 0.5000
0.0000 0.0000 0.0000
```

**Density of states at the Fermi level**: 2.22 states/eV/f.u.
**SG**: Pm-3m, No. 221
**Theoretical density**: 8.7 g cm⁻³

Most stable: x

w | MnTl2O | PBE+U | optimized geometry

Cell and atoms, written as POSCAR:
```
MnTl2O
1.0
7.2550 0.0000 0.0000
0.0000 7.2550 0.0000
3.6275 3.6275 3.3448
Tl Mn O
4 2 2
Direct
0.5658 0.1250 0.2500
0.1842 0.6250 0.2500
0.3750 0.4342 0.7500
0.8750 0.8158 0.7500
0.0000 0.0000 0.0000
0.7500 0.2500 0.5000
0.5000 0.5000 0.0000
0.2500 0.7500 0.5000
```

**Density of states at the Fermi level**: 0.77 states/eV/f.u.
**SG**: I-42d, No. 122
**Theoretical density**: 9.0 g cm⁻³

x | MnTl2O | PBE+U | optimized geometry

Cell and atoms, written as POSCAR:
```
MnTl2O
1.0
0.0000 3.4871 3.4871
3.4871 0.0000 3.4871
3.4871 3.4871 0.0000
Tl Mn O
2 1 1
Direct
0.2500 0.2500 0.2500
0.7500 0.7500 0.7500
0.5000 0.5000 0.5000
0.0000 0.0000 0.0000
```

**Density of states at the Fermi level**: 2.67 states/eV/f.u.
**SG**: Fm-3m, No. 225
**Theoretical density**: 9.4 g cm⁻³

Most stable: w

w | MnV2O4 | PBE+U | optimized geometry

Cell and atoms, written as POSCAR:
```
MnV2O4
1.0
3.0079 0.0000 0.0000
0.0000 9.2813 0.0000
0.0000 0.0000 10.6511
Mn V O
4 8 16
Direct
0.2500 0.7491 0.6529
0.2500 0.2491 0.8471
0.7500 0.7509 0.1529
0.7500 0.2509 0.3471
0.2500 0.4350 0.6174
0.7500 0.0857 0.6026
0.2500 0.9350 0.8826
0.7500 0.5857 0.8974
0.2500 0.4143 0.1026
0.7500 0.0650 0.1174
0.2500 0.9143 0.3974
0.7500 0.5650 0.3826
0.2500 0.1229 0.4690
0.7500 0.8771 0.5310
0.7500 0.5865 0.5715
0.7500 0.2940 0.6750
0.2500 0.0340 0.7178
0.2500 0.5340 0.7822
0.7500 0.7940 0.8250
0.7500 0.0865 0.9285
0.7500 0.3771 0.9690
0.2500 0.6229 0.0310
0.2500 0.9135 0.0715
0.2500 0.2060 0.1750
0.7500 0.4660 0.2178
0.7500 0.9660 0.2822
0.2500 0.7060 0.3250
0.2500 0.4135 0.4285
```

**SG**: Pnma, No. 62
**Theoretical density**: 4.9 g cm⁻³

x | MnV2O4 | PBE+U | optimized geometry

Cell and atoms, written as POSCAR:
```
MnV2O4
1.0
-2.9328 4.2729 -3.2565
-5.1191 -1.4345 3.0333
4.9977 1.5777 3.1682
Mn V O
2 4 8
Direct
0.2500 0.7500 0.5000
0.0000 0.0000 0.0000
0.6250 0.3750 0.7500
0.6250 0.8750 0.2500
0.6250 0.3750 0.2500
0.1250 0.3750 0.7500
0.8566 0.1417 0.2701
0.3933 0.6083 0.2299
0.8716 0.5866 0.7299
0.8583 0.1280 0.7145
0.4135 0.1438 0.2855
0.3784 0.1635 0.7701
0.3917 0.6220 0.7855
0.8365 0.6062 0.2145
```

**SG**: I4_1/a, No. 88
**Theoretical density**: 4.5 g cm⁻³

Most stable: x

w | Mn2VO6 | PBE+U | optimized geometry

Cell and atoms, written as POSCAR:
```
Mn2VO6
1.0
-1.9022 3.1888 0.9759
-1.9085 -2.0085 2.8428
5.7941 2.5601 2.9286
Mn V O
2 1 6
Direct
0.0000 0.1380 0.6655
0.0000 0.4725 0.3343
0.5000 0.1784 0.0000
0.5000 0.7688 0.0000
0.5000 0.4242 0.2740
0.5000 0.1503 0.7262
0.0000 0.2649 0.0002
0.0000 0.6101 0.6172
0.0000 0.9929 0.3826
```

**Density of states at the Fermi level**: 1.26 states/eV/f.u.
**SG**: Amm2, No. 38
**Theoretical density**: 4.2 g cm⁻³

x | Mn2VO6 | PBE+U | optimized geometry

Cell and atoms, written as POSCAR:
```
Mn2VO6
1.0
-0.1623 -1.8279 -4.1205
-2.9200 -3.0985 1.4895
-6.7502 5.3485 -2.1068
Mn V O
4 2 12
Direct
0.5000 0.5000 0.3332
0.5000 0.5000 0.6668
0.0000 0.0000 0.1668
0.0000 0.0000 0.8332
0.5000 0.5000 0.0000
0.0000 0.0000 0.5000
0.6942 0.6942 0.1663
0.6942 0.6942 0.8337
0.6948 0.6948 0.5000
0.8052 0.1948 0.0000
0.8058 0.1942 0.3337
0.8058 0.1942 0.6663
0.1942 0.8058 0.3337
0.1942 0.8058 0.6663
0.1948 0.8052 0.0000
0.3052 0.3052 0.5000
0.3058 0.3058 0.1663
0.3058 0.3058 0.8337
```

**Density of states at the Fermi level**: 1.11 states/eV/f.u.
**SG**: P4_2/mnm, No. 136
**Theoretical density**: 4.7 g cm⁻³

Most stable: x